Entry 1:
Here is a geometry-optimized MgZrIn2 structure from the Alexandria database. Energies are from PBE-GGA.

```
MgZrIn2
1.0
-0.549 -5.054 -0.021
2.601 -2.853 3.308
-2.427 -2.309 3.824
In Mg Zr
2 1 1
direct
0.000 0.000 0.000
0.250 0.250 0.250
0.500 0.500 0.500
0.750 0.750 0.750
```

Entry 2:
Here is a geometry-optimized Mg2ZrIn2 structure from the Alexandria database. Energies are from PBE-GGA.

```
Mg2ZrIn2
1.0
-7.805 0.249 -2.742
-1.840 -6.604 4.637
-0.805 1.958 2.469
Mg Zr In
4 2 4
direct
0.375 0.875 0.000
0.875 0.625 0.000
0.625 0.125 0.000
0.125 0.375 0.000
0.000 0.000 0.000
0.500 0.500 0.000
0.175 0.675 0.500
0.675 0.825 0.500
0.825 0.325 0.500
0.325 0.175 0.500
```

distance to the lowest polymorph of the same formula: 13 meV/atom

Entry 3:
Here is a geometry-optimized Mg9Zr4In11 structure from the Alexandria database. Energies are from PBE-GGA.

```
Mg9Zr4In11
1.0
3.253 0.000 0.000
0.000 12.438 -5.171
0.000 0.133 13.469
Mg Zr In
9 4 11
direct
0.500 0.611 0.173
0.500 0.389 0.827
0.500 0.173 0.611
0.500 0.827 0.389
0.500 0.798 0.990
0.500 0.202 0.010
0.500 0.990 0.798
0.500 0.010 0.202
0.500 0.500 0.500
0.500 0.592 0.754
0.500 0.408 0.246
0.500 0.754 0.592
0.500 0.246 0.408
0.000 0.592 0.955
0.000 0.408 0.045
0.000 0.955 0.592
0.000 0.045 0.408
0.000 0.618 0.382
0.000 0.382 0.618
0.000 0.810 0.190
0.000 0.190 0.810
0.000 0.000 0.000
0.000 0.796 0.796
0.000 0.204 0.204
```

Entry 4:
Here is a geometry-optimized MgZrIn2 structure from the Alexandria database. Energies are from PBE-GGA.

```
MgZrIn2
1.0
3.400 0.000 0.000
0.000 4.410 0.000
0.000 0.000 6.180
In Mg Zr
2 1 1
direct
0.000 0.000 0.978
0.500 0.500 0.264
0.000 0.000 0.498
0.500 0.500 0.759
```

Entry 5:
Here is a geometry-optimized Mg2ZrIn structure from the Alexandria database. Energies are from PBE-GGA.

```
Mg2ZrIn
1.0
3.180 0.539 0.000
-0.543 3.180 0.000
0.000 0.000 8.670
In Mg Zr
1 2 1
direct
0.500 0.500 0.750
0.000 0.000 0.999
0.000 0.000 0.501
0.500 0.500 0.250
```

Entry 6:
Here is a geometry-optimized MgZrIn2 structure from the Alexandria database. Energies are from PBE-GGA.

```
MgZrIn2
1.0
10.211 -0.003 -0.002
9.690 3.222 -0.002
9.690 1.567 2.815
In Mg Zr
2 1 1
direct
0.999 0.999 0.999
0.501 0.501 0.501
0.250 0.250 0.250
0.750 0.750 0.750
```

Entry 7:
Here is a geometry-optimized MgZrIn structure from the Alexandria database. Energies are from PBE-GGA.

```
MgZrIn
1.0
-3.228 -0.025 2.700
-0.341 -4.171 -0.447
6.660 1.076 4.692
Mg Zr In
2 2 2
direct
0.500 0.000 0.000
0.000 0.500 0.000
0.669 0.669 0.338
0.331 0.331 0.662
0.140 0.140 0.281
0.860 0.860 0.719
```

Entry 8:
Here is a geometry-optimized Mg2ZrIn2 structure from the Alexandria database. Energies are from PBE-GGA.

```
Mg2ZrIn2
1.0
4.219 0.000 0.000
0.000 4.219 0.000
2.110 2.110 6.504
Mg Zr In
2 1 2
direct
0.750 0.250 0.500
0.250 0.750 0.500
0.000 0.000 0.000
0.397 0.397 0.205
0.603 0.603 0.795
```

distance to the lowest polymorph of the same formula: 85 meV/atom

Entry 9:
Here is a geometry-optimized Mg4ZrIn structure from the Alexandria database. Energies are from PBE-GGA.

```
Mg4ZrIn
1.0
3.550 0.000 0.000
0.000 3.550 0.000
0.000 0.000 10.578
Mg Zr In
4 1 1
direct
0.500 0.500 0.832
0.500 0.500 0.168
0.000 0.000 0.669
0.000 0.000 0.331
0.500 0.500 0.500
0.000 0.000 0.000
```

distance to the lowest polymorph of the same formula: 0 meV/atom

Entry 10:
Here is a geometry-optimized Mg3ZrIn4 structure from the Alexandria database. Energies are from PBE-GGA.

```
Mg3ZrIn4
1.0
4.388 0.000 -1.184
-0.314 4.383 -1.162
0.160 0.130 9.313
Mg Zr In
3 1 4
direct
0.000 0.500 0.000
0.748 0.248 0.496
0.252 0.752 0.504
0.500 0.000 0.000
0.376 0.377 0.751
0.624 0.623 0.249
0.124 0.124 0.249
0.876 0.876 0.751
```

Entry 11:
Here is a geometry-optimized MgZr4In structure from the Alexandria database. Energies are from PBE-GGA.

```
MgZr4In
1.0
-3.184 -1.635 -2.463
-2.039 -1.459 3.605
-1.958 6.993 1.723
Mg Zr In
1 4 1
direct
0.500 0.500 0.000
0.331 0.000 0.662
0.669 0.000 0.338
0.831 0.500 0.662
0.169 0.500 0.338
0.000 0.000 0.000
```

distance to the lowest polymorph of the same formula: 0 meV/atom

Entry 12:
Here is a geometry-optimized MgZrIn2 structure from the Alexandria database. Energies are from PBE-GGA.

```
MgZrIn2
1.0
-1.721 6.600 1.898
-3.540 -4.130 0.591
-0.168 0.575 3.101
Mg Zr In
1 1 2
direct
0.000 0.500 0.500
0.500 0.500 0.000
0.000 0.000 0.000
0.500 0.000 0.500
```

Number 1: M_tot 0.00 μB per atom, E -3.737 eV/atom, formation enthalpy at 0 K 168 meV/atom. Number 2: M_tot 0.00 μB per atom, E -3.454 eV/atom, formation enthalpy at 0 K -11 meV/atom. Number 3: M_tot 0.00 μB per atom, E -3.369 eV/atom, formation enthalpy at 0 K -92 meV/atom. Number 4: M_tot 0.00 μB per atom, E -3.995 eV/atom, formation enthalpy at 0 K -90 meV/atom. Number 5: M_tot 0.00 μB per atom, E -3.668 eV/atom, formation enthalpy at 0 K -49 meV/atom. Number 6: M_tot 0.00 μB per atom, E -4.031 eV/atom, formation enthalpy at 0 K -126 meV/atom. Number 7: M_tot 0.00 μB per atom, E -4.442 eV/atom, formation enthalpy at 0 K -149 meV/atom. Number 8: M_tot 0.00 μB per atom, E -3.382 eV/atom, formation enthalpy at 0 K 61 meV/atom. Number 9: M_tot 0.00 μB per atom, E -2.975 eV/atom, formation enthalpy at 0 K -31 meV/atom. Number 10: M_tot 0.00 μB per atom, E -3.153 eV/atom, formation enthalpy at 0 K -117 meV/atom. Number 11: M_tot 0.00 μB per atom, E -6.568 eV/atom, formation enthalpy at 0 K -147 meV/atom. Number 12: M_tot 0.00 μB per atom, E -4.124 eV/atom, formation enthalpy at 0 K -219 meV/atom.